(1)
VASP calculation (GGA-PBE) on Na3SnBr after structural relaxation.

abc: 5.9828 5.9828 5.9828
angles: 90.00 90.00 90.00
Space group Pm-3m (No. 221)
One atom of each set of equivalent atoms:
Na 0.0000 0.0000 0.5000
Sn 0.0000 0.0000 0.0000
Br 0.5000 0.5000 0.5000

Results
Formation energy from raw total energies = -182 meV per atom
Energy = -10.54 eV per cell
ΔE to the lowest computed polymorph = 252.1 meV per atom

***

(2)
VASP calculation (GGA-PBE) on NaSn2Br6 after structural relaxation.

abc: 13.5091 5.5165 9.9860
angles: 90.00 115.55 90.00
Space group C2/m (No. 12)
One atom of each set of equivalent atoms:
Na 0.0000 0.0000 0.0000
Sn 0.1849 0.0000 0.6464
Br 0.0115 0.0000 0.7109
Br 0.1521 0.5000 0.0813
Br 0.1862 0.5000 0.5940

Results
Formation energy from raw total energies = -849 meV per atom
Energy = -54.00 eV per cell
ΔE to the lowest computed polymorph = 17.1 meV per atom

***

(3)
VASP calculation (GGA-PBE) on Na2SnBr5 after structural relaxation.

abc: 5.7025 14.5989 13.9233
angles: 90.00 90.00 90.00
Space group Cmcm (No. 63)
One atom of each set of equivalent atoms:
Na 0.0000 0.1602 0.0646
Sn 0.0000 0.1784 0.7500
Br 0.0000 0.0489 0.6115
Br 0.0000 0.2951 0.2500
Br 0.0000 0.3112 0.5966

Results
Formation energy from raw total energies = -1075 meV per atom
Energy = -94.43 eV per cell
ΔE to the lowest computed polymorph = 0.0 meV per atom

***

(4)
VASP calculation (GGA-PBE) on Na2SnBr4 after structural relaxation.

abc: 8.8171 8.8171 12.5154
angles: 90.00 90.00 90.00
Space group P4_122 (No. 91)
One atom of each set of equivalent atoms:
Na 0.0000 0.2442 0.0000
Na 0.2494 0.2494 0.3750
Sn 0.2381 0.5000 0.7500
Br 0.0163 0.2539 0.7582
Br 0.2442 0.4844 0.9912

Results
Formation energy from raw total energies = -1213 meV per atom
Energy = -87.30 eV per cell
ΔE to the lowest computed polymorph = 0.0 meV per atom

***

- Number 4 is which compound?
  Na2SnBr4